{"formula": "Fe2MoO", "functional": "PBE with a Hubbard U", "state": "relaxed", "lattice_angstrom": [[6.1322, 0.0000, 0.0000], [0.0000, 6.1322, 0.0000], [3.0661, 3.0661, 4.3395]], "species": ["Mo", "Mo", "Fe", "Fe", "Fe", "Fe", "O", "O"], "fractional_positions": [[0.0000, 0.0000, 0.0000], [0.7500, 0.2500, 0.5000], [0.4490, 0.1250, 0.2500], [0.3010, 0.6250, 0.2500], [0.3750, 0.5510, 0.7500], [0.8750, 0.6990, 0.7500], [0.5000, 0.5000, 0.0000], [0.2500, 0.7500, 0.5000]], "total_energy_ev_per_atom": -5.424, "dos_ef_per_ev_cell": 1.552}